Entry from Alexandria via LeMat-Bulk: an optimized crystal structure of CaCr3Se (GGA-PBE).

```
data_CaCr3Se
_chemical_formula_sum 'Ca1 Cr3 Se1'
_symmetry_space_group_name_H-M 'P m -3 m'
_symmetry_Int_Tables_number 221
_symmetry_space_group_name_Hall '-P 4 2 3'
_cell_length_a 4.4501
_cell_length_b 4.4501
_cell_length_c 4.4501
_cell_angle_alpha 90.00
_cell_angle_beta 90.00
_cell_angle_gamma 90.00
loop_
_atom_site_label
_atom_site_type_symbol
_atom_site_fract_x
_atom_site_fract_y
_atom_site_fract_z
Ca1 Ca 0.0000 0.0000 0.0000
Cr1 Cr 0.0000 0.0000 0.5000
Se1 Se 0.5000 0.5000 0.5000
```

Mass density ... 5.18 g cm⁻³
Final energy ... -4.25 eV per atom
E_form (uncorrected) ... 2.618 eV per atom